Record 1
SrEuAgP: relaxed, PBE-GGA.

Results
The symmetry is F-43m. Its crystal system is cubic. Its volume is 104.7 Å³ per cell. The value obtained for the formation energy is -0.6544 eV per atom.

a b c (Å): 5.290 5.290 5.290
angles (deg): 60.00 60.00 60.00
Element x y z (fractional)
Sr: 0.000 0.000 0.000
Eu: 0.500 0.500 0.500
Ag: 0.750 0.750 0.750
P: 0.250 0.250 0.250

---

Record 2
Nb2CrHPd: relaxed, PBE-GGA.

Results
As for the energy: -7.70 eV per atom. The symmetry is P4/mmm. Its crystal system is tetragonal. Its volume is 65.7 Å³ per cell.

a b c (Å): 4.221 4.221 3.688
angles (deg): 90.00 90.00 90.00
Element x y z (fractional)
Nb: 0.000 0.500 0.000
Nb: 0.500 0.000 0.000
Cr: 0.000 0.000 0.500
H: 0.000 0.000 0.000
Pd: 0.500 0.500 0.500

---

Record 3
CdIO: relaxed, PBE-GGA.

Results
The symmetry is Pbca. Its crystal system is orthorhombic. Its uncorrected formation energy is -0.412 eV/atom. Its volume is 526.6 Å³ per cell.

a b c (Å): 7.361 9.571 7.475
angles (deg): 90.00 90.00 90.00
Element x y z (fractional)
Cd: 0.170 0.022 0.158
Cd: 0.170 0.478 0.658
Cd: 0.330 0.522 0.158
Cd: 0.330 0.978 0.658
Cd: 0.670 0.022 0.342
Cd: 0.670 0.478 0.842
Cd: 0.830 0.522 0.342
Cd: 0.830 0.978 0.842
I: 0.046 0.671 0.942
I: 0.046 0.829 0.442
I: 0.454 0.171 0.942
I: 0.454 0.329 0.442
I: 0.546 0.671 0.558
I: 0.546 0.829 0.058
I: 0.954 0.171 0.558
I: 0.954 0.329 0.058
O: 0.126 0.585 0.381
O: 0.126 0.915 0.881
O: 0.374 0.085 0.381
O: 0.374 0.415 0.881
O: 0.626 0.585 0.119
O: 0.626 0.915 0.619
O: 0.874 0.085 0.119
O: 0.874 0.415 0.619

---

Record 4
Cs4HoNp3Se8: relaxed, PBE-GGA.

Results
The symmetry is R-3m. Its crystal system is trigonal. Its uncorrected formation energy is -1.347 eV/atom. Its volume is 539.3 Å³ per cell.

a b c (Å): 9.733 9.733 9.733
angles (deg): 52.63 52.63 52.63
Element x y z (fractional)
Cs: 0.000 0.000 0.000
Cs: 0.000 0.500 0.500
Cs: 0.500 0.000 0.500
Cs: 0.500 0.500 0.000
Ho: 0.500 0.500 0.500
Np: 0.000 0.000 0.500
Np: 0.000 0.500 0.000
Np: 0.500 0.000 0.000
Se: 0.228 0.228 0.228
Se: 0.233 0.726 0.726
Se: 0.274 0.274 0.767
Se: 0.274 0.767 0.274
Se: 0.726 0.233 0.726
Se: 0.726 0.726 0.233
Se: 0.767 0.274 0.274
Se: 0.772 0.772 0.772

---

Record 5
La12Ho7Sc: relaxed, PBE-GGA.

Results
The symmetry is R-3m. Its crystal system is trigonal. Its volume is 697.1 Å³ per cell. The value obtained for the formation energy is 0.1634 eV per atom. Its offset from the most stable computed form is 0.55 eV/f.u.

a b c (Å): 11.460 11.460 11.460
angles (deg): 116.67 116.67 116.67
Element x y z (fractional)
La: 0.000 0.408 0.592
La: 0.000 0.592 0.408
La: 0.069 0.069 0.421
La: 0.069 0.421 0.069
La: 0.408 0.000 0.592
La: 0.408 0.592 0.000
La: 0.421 0.069 0.069
La: 0.579 0.931 0.931
La: 0.592 0.000 0.408
La: 0.592 0.408 0.000
La: 0.931 0.579 0.931
La: 0.931 0.931 0.579
Ho: 0.000 0.000 0.000
Ho: 0.148 0.391 0.391
Ho: 0.391 0.148 0.391
Ho: 0.391 0.391 0.148
Ho: 0.609 0.609 0.852
Ho: 0.609 0.852 0.609
Ho: 0.852 0.609 0.609
Sc: 0.500 0.500 0.500

---

Record 6
Sr2BeH6: relaxed, PBE-GGA.

Results
As for the energy: -3.18 eV per atom. The symmetry is P4_2/mnm. Its crystal system is tetragonal. Its volume is 242.1 Å³ per cell.

a b c (Å): 4.925 4.925 9.981
angles (deg): 90.00 90.00 90.00
Element x y z (fractional)
Sr: 0.000 0.000 0.166
Sr: 0.000 0.000 0.834
Sr: 0.500 0.500 0.334
Sr: 0.500 0.500 0.666
Be: 0.000 0.000 0.500
Be: 0.500 0.500 0.000
H: 0.164 0.164 0.375
H: 0.164 0.164 0.625
H: 0.244 0.756 0.500
H: 0.256 0.256 0.000
H: 0.336 0.664 0.125
H: 0.336 0.664 0.875
H: 0.664 0.336 0.125
H: 0.664 0.336 0.875
H: 0.744 0.744 0.000
H: 0.756 0.244 0.500
H: 0.836 0.836 0.375
H: 0.836 0.836 0.625

---

Record 7
La3Pd: relaxed, PBE-GGA.

Results
The symmetry is Imm2. Its crystal system is orthorhombic. Its volume is 124.8 Å³ per cell. The value obtained for the formation energy is -0.3468 eV per atom.

a b c (Å): 6.578 6.578 6.578
angles (deg): 147.03 65.27 125.40
Element x y z (fractional)
La: 0.000 0.000 0.000
La: 0.355 0.554 0.802
La: 0.752 0.554 0.198
Pd: 0.397 0.897 0.500

---

Record 8
Tb7Tm4In: relaxed, PBE-GGA.

Results
The symmetry is C2/m. Its crystal system is monoclinic. Its volume is 392.1 Å³ per cell. The value obtained for the formation energy is 0.1942 eV per atom. Its offset from the most stable computed form is 2.55 eV/f.u.

a b c (Å): 6.700 6.700 12.285
angles (deg): 112.64 112.64 51.88
Element x y z (fractional)
Tb: 0.000 0.000 0.000
Tb: 0.132 0.132 0.472
Tb: 0.298 0.298 0.080
Tb: 0.405 0.405 0.723
Tb: 0.595 0.595 0.277
Tb: 0.702 0.702 0.920
Tb: 0.868 0.868 0.528
Tm: 0.138 0.138 0.769
Tm: 0.358 0.358 0.380
Tm: 0.642 0.642 0.620
Tm: 0.862 0.862 0.231
In: 0.500 0.500 0.000

---

Record 9
HoErSnIr: relaxed, PBE-GGA.

Results
The symmetry is F-43m. Its crystal system is cubic. Its volume is 91.2 Å³ per cell. The value obtained for the formation energy is -0.6234 eV per atom.

a b c (Å): 5.053 5.053 5.053
angles (deg): 60.00 60.00 60.00
Element x y z (fractional)
Ho: 0.000 0.000 0.000
Er: 0.500 0.500 0.500
Sn: 0.750 0.750 0.750
Ir: 0.250 0.250 0.250

---

Record 10
La2Tl5Cl12: relaxed, PBE-GGA.

Results
The symmetry is C2/m. Its crystal system is monoclinic. Its uncorrected formation energy is -1.537 eV/atom. Its volume is 603.6 Å³ per cell.

a b c (Å): 9.661 9.661 7.552
angles (deg): 103.11 103.11 62.64
Element x y z (fractional)
La: 0.247 0.753 0.000
La: 0.753 0.247 0.000
Tl: 0.149 0.149 0.506
Tl: 0.260 0.260 0.009
Tl: 0.500 0.500 0.500
Tl: 0.740 0.740 0.991
Tl: 0.851 0.851 0.494
Cl: 0.021 0.021 0.795
Cl: 0.027 0.641 0.788
Cl: 0.211 0.594 0.259
Cl: 0.359 0.973 0.212
Cl: 0.406 0.789 0.741
Cl: 0.422 0.422 0.808
Cl: 0.578 0.578 0.192
Cl: 0.594 0.211 0.259
Cl: 0.641 0.027 0.788
Cl: 0.789 0.406 0.741
Cl: 0.973 0.359 0.212
Cl: 0.979 0.979 0.205

---

Record 11
V2BiIrRh: relaxed, PBE-GGA.

Results
The symmetry is P4/mmm. Its crystal system is tetragonal. Its volume is 103.8 Å³ per cell. The value obtained for the formation energy is 0.9267 eV per atom.

a b c (Å): 4.570 4.570 4.970
angles (deg): 90.00 90.00 90.00
Element x y z (fractional)
V: 0.000 0.500 0.000
V: 0.500 0.000 0.000
Bi: 0.000 0.000 0.500
Ir: 0.500 0.500 0.500
Rh: 0.500 0.500 0.000

---

Record 12
Nb3CrB: relaxed, PBE-GGA.

Results
The symmetry is Pm-3m. Its crystal system is cubic. Its volume is 92.5 Å³ per cell. The value obtained for the formation energy is 1.5375 eV per atom. Its offset from the most stable computed form is 5.86 eV/f.u.

a b c (Å): 4.522 4.522 4.522
angles (deg): 90.00 90.00 90.00
Element x y z (fractional)
Nb: 0.000 0.000 0.500
Nb: 0.000 0.500 0.000
Nb: 0.500 0.000 0.000
Cr: 0.000 0.000 0.000
B: 0.500 0.500 0.500